## P
Computed, not measured: a relaxed PmSmO2 crystal at the PBE level of DFT.

```
PmSmO2
1.0
3.4875 0.0000 0.0000
1.7438 3.0203 0.0000
1.7438 1.0068 6.0094
Pm O Sm
1 2 1
Direct
0.4950 0.4950 0.5150 Pm
0.0794 0.0794 0.7618 O
0.2530 0.2530 0.2410 O
0.6726 0.6726 0.9822 Sm
```

## Q
Computed, not measured: a relaxed PmSmO2 crystal at the PBE level of DFT.

```
PmSmO2
1.0
-2.1231 -1.1789 -2.8198
-0.9361 -3.5931 -0.2486
-6.5206 -0.4099 2.6254
O Pm Sm
2 1 1
Direct
0.8865 0.8865 0.3404 O
0.1135 0.1135 0.6596 O
0.0000 0.0000 0.0000 Pm
0.5000 0.5000 0.5000 Sm
```

It turns out Q is the most stable, with the second structure 0.121 eV/atom higher.

## P
Computed, not measured: a relaxed SrPmO crystal at the PBE level of DFT.

```
SrPmO
1.0
3.9440 0.0000 0.0000
-1.9720 3.4156 0.0000
0.0000 0.0000 7.3435
Sr Pm O
1 1 1
Direct
0.0000 0.0000 0.0002 Sr
0.6667 0.3333 0.5001 Pm
0.3333 0.6667 0.4997 O
```

## Q
Computed, not measured: a relaxed SrPmO crystal at the PBE level of DFT.

```
SrPmO
1.0
3.6279 0.0000 0.0000
-1.8139 3.1431 0.0000
0.0000 0.0000 13.1140
O Pm Sr
2 2 2
Direct
0.6126 0.2253 0.0000 O
0.2764 0.5527 0.5000 O
0.2789 0.5577 0.1206 Pm
0.2789 0.5577 0.8794 Pm
0.6099 0.2198 0.3795 Sr
0.6099 0.2198 0.6205 Sr
```

It turns out P is the most stable, with the second structure 0.156 eV/atom higher.

## P
Computed, not measured: a relaxed TbPmO crystal at the PBE level of DFT.

```
TbPmO
1.0
-2.5175 -1.2035 2.2591
-0.0891 -0.9536 -3.4601
3.3621 -4.7423 1.2203
Pm O Tb
1 1 1
Direct
0.0000 0.0000 0.0948 Pm
0.6667 0.3333 0.3481 O
0.3333 0.6667 0.5572 Tb
```

## Q
Computed, not measured: a relaxed TbPmO crystal at the PBE level of DFT.

```
TbPmO
1.0
-2.9038 -1.9498 0.8342
0.2678 -3.5698 0.3381
1.5963 -0.5533 12.0133
Pm Tb O
2 2 2
Direct
0.2120 0.2120 0.3640 Pm
0.7880 0.7880 0.6360 Pm
0.9535 0.9535 0.1395 Tb
0.0465 0.0465 0.8605 Tb
0.4118 0.4118 0.7647 O
0.5882 0.5882 0.2353 O
```

It turns out P is the most stable, with the second structure 0.036 eV/atom higher.

## P
Computed, not measured: a relaxed Tb2PmO crystal at the PBE level of DFT.

```
Tb2PmO
1.0
-0.0633 3.1998 0.0207
-3.1839 -0.0609 -0.3204
-0.8904 -0.0750 8.8618
Tb Pm O
2 1 1
Direct
0.0000 0.0000 0.1726 Tb
0.0000 0.0000 0.8274 Tb
0.5000 0.5000 0.5000 Pm
0.5000 0.5000 0.0000 O
```

## Q
Computed, not measured: a relaxed Tb2PmO crystal at the PBE level of DFT.

```
Tb2PmO
1.0
3.5429 0.0000 0.0000
1.7714 3.0682 0.0000
1.7714 1.0227 8.8552
Tb Pm O
2 1 1
Direct
0.7185 0.7185 0.8446 Tb
0.2815 0.2815 0.1554 Tb
0.5000 0.5000 0.5000 Pm
0.0000 0.0000 0.0000 O
```

It turns out Q is the most stable, with the second structure 0.534 eV/atom higher.

## P
Computed, not measured: a relaxed Pm2Tc2O7 crystal at the PBE level of DFT.

```
Pm2Tc2O7
1.0
5.1858 -0.0025 -0.0127
0.0024 5.1776 0.0022
-0.3358 -0.0019 5.1749
Tc O Pm
2 7 2
Direct
0.2635 0.0000 0.7365 Tc
0.7365 0.0000 0.2635 Tc
0.5000 0.2208 0.5000 O
0.5000 0.7792 0.5000 O
0.5000 0.2294 0.0000 O
0.0000 0.2294 0.5000 O
0.0000 0.7706 0.5000 O
0.5000 0.7706 0.0000 O
0.0000 0.0000 0.0000 O
0.2500 0.5000 0.2500 Pm
0.7500 0.5000 0.7500 Pm
```

## Q
Computed, not measured: a relaxed Pm2Tc2O7 crystal at the PBE level of DFT.

```
Pm2Tc2O7
1.0
0.1849 -7.3738 -0.7774
6.3483 -3.6837 1.0685
0.8122 -4.3383 5.9608
Tc O Pm
4 14 4
Direct
0.1250 0.1250 0.1250 Tc
0.1250 0.1250 0.6250 Tc
0.6250 0.1250 0.1250 Tc
0.1250 0.6250 0.1250 Tc
0.4586 0.0414 0.4586 O
0.2086 0.7914 0.2086 O
0.0414 0.4586 0.0414 O
0.7500 0.7500 0.7500 O
0.4586 0.0414 0.0414 O
0.2086 0.7914 0.7914 O
0.7914 0.7914 0.2086 O
0.0414 0.4586 0.4586 O
0.0414 0.0414 0.4586 O
0.4586 0.4586 0.0414 O
0.7914 0.2086 0.2086 O
0.2086 0.2086 0.7914 O
0.5000 0.5000 0.5000 O
0.7914 0.2086 0.7914 O
0.6250 0.6250 0.1250 Pm
0.6250 0.1250 0.6250 Pm
0.6250 0.6250 0.6250 Pm
0.1250 0.6250 0.6250 Pm
```

It turns out Q is the most stable, with the second structure 0.354 eV/atom higher.

## P
Computed, not measured: a relaxed Pm3TeO3 crystal at the PBE level of DFT.

```
Pm3TeO3
1.0
4.1656 0.0000 0.0000
0.0000 8.0132 -4.6222
0.0000 -0.0033 9.2499
O Pm Te
6 6 2
Direct
0.2500 0.0489 0.6641 O
0.7500 0.6642 0.6153 O
0.2500 0.6152 0.9512 O
0.2500 0.3358 0.3847 O
0.7500 0.3848 0.0488 O
0.7500 0.9511 0.3359 O
0.2500 0.6020 0.6902 Pm
0.7500 0.6902 0.0882 Pm
0.2500 0.0882 0.3980 Pm
0.2500 0.3098 0.9118 Pm
0.7500 0.9118 0.6020 Pm
0.7500 0.3980 0.3098 Pm
0.2500 0.6667 0.3334 Te
0.7500 0.3333 0.6666 Te
```

## Q
Computed, not measured: a relaxed Pm3TeO3 crystal at the PBE level of DFT.

```
Pm3TeO3
1.0
-1.4396 5.9151 3.2684
-6.5455 2.1485 0.5324
-3.3540 -0.9988 7.6340
Pm O Te
6 6 2
Direct
0.1006 0.7717 0.6983 Pm
0.8994 0.2283 0.3017 Pm
0.7717 0.4294 0.6983 Pm
0.5706 0.8994 0.3017 Pm
0.2283 0.5706 0.3017 Pm
0.4294 0.1006 0.6983 Pm
0.4611 0.7918 0.6210 O
0.8738 0.5389 0.3790 O
0.1262 0.4611 0.6210 O
0.7918 0.1262 0.6210 O
0.2082 0.8738 0.3790 O
0.5389 0.2082 0.3790 O
0.6666 0.6666 0.0001 Te
0.3334 0.3334 0.9999 Te
```

It turns out Q is the most stable, with the second structure 0.187 eV/atom higher.

## P
Computed, not measured: a relaxed Pm2Te2O7 crystal at the PBE level of DFT.

```
Pm2Te2O7
1.0
-0.0801 -5.8667 1.2584
-0.7585 -1.3203 -5.7097
5.9064 -0.1772 0.0438
O Pm Te
7 2 2
Direct
0.2345 0.4962 0.4962 O
0.8078 0.9531 0.6209 O
0.8078 0.6209 0.9531 O
0.5000 0.0000 0.0000 O
0.1922 0.3791 0.0469 O
0.1922 0.0469 0.3791 O
0.7655 0.5038 0.5038 O
0.0000 0.7018 0.2982 Pm
0.0000 0.2982 0.7018 Pm
0.3939 0.2498 0.2498 Te
0.6061 0.7502 0.7502 Te
```

## Q
Computed, not measured: a relaxed Pm2Te2O7 crystal at the PBE level of DFT.

```
Pm2Te2O7
1.0
-6.7000 -0.2987 -3.8427
-2.0990 -6.5052 -3.6084
-5.8506 -4.2331 2.7561
O Te Pm
14 4 4
Direct
0.4695 0.0305 0.4695 O
0.4695 0.4695 0.0305 O
0.5000 0.5000 0.5000 O
0.2195 0.2195 0.7805 O
0.7805 0.2195 0.2195 O
0.2195 0.7805 0.7805 O
0.0305 0.4695 0.0305 O
0.7805 0.2195 0.7805 O
0.7500 0.7500 0.7500 O
0.7805 0.7805 0.2195 O
0.0305 0.0305 0.4695 O
0.4695 0.0305 0.0305 O
0.0305 0.4695 0.4695 O
0.2195 0.7805 0.2195 O
0.1250 0.6250 0.1250 Te
0.6250 0.1250 0.1250 Te
0.1250 0.1250 0.6250 Te
0.1250 0.1250 0.1250 Te
0.6250 0.1250 0.6250 Pm
0.1250 0.6250 0.6250 Pm
0.6250 0.6250 0.6250 Pm
0.6250 0.6250 0.1250 Pm
```

It turns out P is the most stable, with the second structure 0.066 eV/atom higher.

## P
Computed, not measured: a relaxed PmTeO crystal at the PBE level of DFT.

```
PmTeO
1.0
4.3425 0.0000 0.0000
-2.1712 3.3759 -0.0533
0.0000 -0.3625 9.5937
Te O Pm
2 2 2
Direct
0.9053 0.8107 0.1228 Te
0.0947 0.1893 0.8772 Te
0.6698 0.3396 0.4062 O
0.3302 0.6604 0.5938 O
0.6858 0.3717 0.6496 Pm
0.3142 0.6283 0.3504 Pm
```

## Q
Computed, not measured: a relaxed PmTeO crystal at the PBE level of DFT.

```
PmTeO
1.0
5.6540 0.0000 0.0000
0.0000 3.8525 0.0000
0.0000 -1.9263 3.3364
O Pm Te
1 1 1
Direct
0.1666 0.0000 0.0000 O
0.1667 0.6667 0.3333 Pm
0.6667 0.3333 0.6667 Te
```

It turns out P is the most stable, with the second structure 0.072 eV/atom higher.